Entry 1:
This record from the Alexandria database describes crystalline BaNpMnS6 at its relaxed geometry. The functional is GGA-PBE.

```
data_BaNpMnS6
_chemical_formula_sum 'Ba1 Np1 Mn1 S6'
_space_group_name_H-M_alt 'P 3 1 2'
_space_group_IT_number 149
_space_group_name_Hall 'P 3 2'
_cell_length_a 6.3143
_cell_length_b 6.3143
_cell_length_c 7.0394
_cell_angle_alpha 90.00
_cell_angle_beta 90.00
_cell_angle_gamma 120.00
loop_
_atom_site_label
_atom_site_fract_x
_atom_site_fract_y
_atom_site_fract_z
_atom_site_occupancy
Ba1 0.0000 0.0000 0.0000 1
Np1 0.3333 0.6667 0.5000 1
Mn1 0.6667 0.3333 0.5000 1
S1 0.3913 0.0209 0.7060 1
```

As for the total magnetization: 4.014 μB per formula unit. The total energy comes out at -6.427 eV/atom. For the raw formation energy, the calculation gives -1.005 eV/atom.

Entry 2:
This record from the Alexandria database describes crystalline BaNp2MnS8 at its relaxed geometry. The functional is GGA-PBE.

```
data_BaNp2MnS8
_chemical_formula_sum 'Ba1 Np2 Mn1 S8'
_space_group_name_H-M_alt 'P 1 2/m 1'
_space_group_IT_number 10
_space_group_name_Hall '-P 2y'
_cell_length_a 6.173
_cell_length_b 8.224
_cell_length_c 6.375
_cell_angle_alpha 90.00
_cell_angle_beta 96.58
_cell_angle_gamma 90.00
loop_
_atom_site_label
_atom_site_fract_x
_atom_site_fract_y
_atom_site_fract_z
_atom_site_occupancy
Ba1 0.000 0.000 0.000 1
Np1 0.500 0.258 0.500 1
Mn1 0.000 0.500 0.000 1
S1 0.231 0.308 0.173 1
S2 0.295 0.500 0.649 1
S3 0.297 0.000 0.628 1
```

As for the total magnetization: 6.991 μB per formula unit. The total energy comes out at -6.779 eV/atom. For the raw formation energy, the calculation gives -0.947 eV/atom.

Entry 3:
This record from the Alexandria database describes crystalline Ba2NpMnS5 at its relaxed geometry. The functional is GGA-PBE.

```
data_Ba2NpMnS5
_chemical_formula_sum 'Ba8 Np4 Mn4 S20'
_space_group_name_H-M_alt 'C m c 21'
_space_group_IT_number 36
_space_group_name_Hall 'C 2c -2'
_cell_length_a 4.181
_cell_length_b 17.895
_cell_length_c 12.953
_cell_angle_alpha 90.00
_cell_angle_beta 90.00
_cell_angle_gamma 90.00
loop_
_atom_site_label
_atom_site_fract_x
_atom_site_fract_y
_atom_site_fract_z
_atom_site_occupancy
Ba1 0.000 0.113 0.000 1
Ba2 0.000 0.125 0.639 1
Np1 0.000 0.200 0.336 1
Mn1 0.000 0.442 0.747 1
S1 0.000 0.049 0.339 1
S2 0.000 0.295 0.972 1
S3 0.000 0.312 0.695 1
S4 0.000 0.348 0.322 1
S5 0.000 0.499 0.090 1
```

As for the total magnetization: 8.000 μB per formula unit. The total energy comes out at -6.705 eV/atom. For the raw formation energy, the calculation gives -1.528 eV/atom.

Entry 4:
This record from the Alexandria database describes crystalline Ba2NpMnS6 at its relaxed geometry. The functional is GGA-PBE.

```
data_Ba2NpMnS6
_chemical_formula_sum 'Ba4 Np2 Mn2 S12'
_space_group_name_H-M_alt 'C 1 2/m 1'
_space_group_IT_number 12
_space_group_name_Hall '-C 2y'
_cell_length_a 12.169
_cell_length_b 6.998
_cell_length_c 7.130
_cell_angle_alpha 90.00
_cell_angle_beta 125.71
_cell_angle_gamma 90.00
loop_
_atom_site_label
_atom_site_fract_x
_atom_site_fract_y
_atom_site_fract_z
_atom_site_occupancy
Ba1 0.247 0.000 0.244 1
Np1 0.000 0.000 0.500 1
Mn1 0.000 0.500 0.000 1
S1 0.030 0.255 0.783 1
S2 0.244 0.500 0.301 1
```

As for the total magnetization: 6.000 μB per formula unit. The total energy comes out at -6.494 eV/atom. For the raw formation energy, the calculation gives -1.422 eV/atom.

Entry 5:
This record from the Alexandria database describes crystalline Ba2NpMnSe6 at its relaxed geometry. The functional is GGA-PBE.

```
data_Ba2NpMnSe6
_chemical_formula_sum 'Ba4 Np2 Mn2 Se12'
_space_group_name_H-M_alt 'P 1 21/c 1'
_space_group_IT_number 14
_space_group_name_Hall '-P 2ybc'
_cell_length_a 7.293
_cell_length_b 7.473
_cell_length_c 12.708
_cell_angle_alpha 90.00
_cell_angle_beta 124.64
_cell_angle_gamma 90.00
loop_
_atom_site_label
_atom_site_fract_x
_atom_site_fract_y
_atom_site_fract_z
_atom_site_occupancy
Ba1 0.232 0.058 0.247 1
Np1 0.500 0.000 0.000 1
Mn1 0.000 0.000 0.500 1
Se1 0.169 0.214 0.966 1
Se2 0.256 0.702 0.968 1
Se3 0.308 0.001 0.745 1
```

As for the total magnetization: 5.995 μB per formula unit. The total energy comes out at -5.963 eV/atom. For the raw formation energy, the calculation gives -1.276 eV/atom.

Entry 6:
This record from the Alexandria database describes crystalline Ba2NpMnSe5 at its relaxed geometry. The functional is GGA-PBE.

```
data_Ba2NpMnSe5
_chemical_formula_sum 'Ba8 Np4 Mn4 Se20'
_space_group_name_H-M_alt 'C m c 21'
_space_group_IT_number 36
_space_group_name_Hall 'C 2c -2'
_cell_length_a 4.352
_cell_length_b 18.704
_cell_length_c 13.389
_cell_angle_alpha 90.00
_cell_angle_beta 90.00
_cell_angle_gamma 90.00
loop_
_atom_site_label
_atom_site_fract_x
_atom_site_fract_y
_atom_site_fract_z
_atom_site_occupancy
Ba1 0.000 0.116 0.000 1
Ba2 0.000 0.123 0.638 1
Np1 0.000 0.200 0.334 1
Mn1 0.000 0.440 0.744 1
Se1 0.000 0.048 0.340 1
Se2 0.000 0.296 0.973 1
Se3 0.000 0.310 0.688 1
Se4 0.000 0.349 0.321 1
Se5 0.000 0.500 0.084 1
```

As for the total magnetization: 8.000 μB per formula unit. The total energy comes out at -6.224 eV/atom. For the raw formation energy, the calculation gives -1.404 eV/atom.